This record from the Alexandria database describes a relaxed structure of ZnInGe3. The functional is PBE.

Values from the calculation:
formation energy from the elements: 0.51 eV/atom
DOS(E_F): 0.682 states/eV per atom
spin magnetization: 0.0000 μB per atom

Geometry as CIF:
```
data_ZnInGe3
_chemical_formula_sum 'Zn1 In1 Ge3'
_cell_length_a 4.910
_cell_length_b 4.910
_cell_length_c 4.910
_cell_angle_alpha 90.00
_cell_angle_beta 90.00
_cell_angle_gamma 90.00
_space_group_name_H-M_alt 'P m -3 m'
_space_group_IT_number 221
_space_group_name_Hall '-P 4 2 3'
loop_
_atom_site_label
_atom_site_type_symbol
_atom_site_fract_x
_atom_site_fract_y
_atom_site_fract_z
Zn1 Zn 0.000 0.000 0.000
In1 In 0.500 0.500 0.500
Ge1 Ge 0.000 0.000 0.500
```

---

This record from the Alexandria database describes a relaxed structure of ZnIn4Ge2. The functional is PBE.

Values from the calculation:
formation energy from the elements: 0.33 eV/atom
DOS(E_F): 0.443 states/eV per atom
spin magnetization: 0.0000 μB per atom

Geometry as CIF:
```
data_ZnIn4Ge2
_chemical_formula_sum 'Zn2 In8 Ge4'
_cell_length_a 5.309
_cell_length_b 5.309
_cell_length_c 14.081
_cell_angle_alpha 90.00
_cell_angle_beta 90.00
_cell_angle_gamma 90.00
_space_group_name_H-M_alt 'I 4/m m m'
_space_group_IT_number 139
_space_group_name_Hall '-I 4 2'
loop_
_atom_site_label
_atom_site_type_symbol
_atom_site_fract_x
_atom_site_fract_y
_atom_site_fract_z
Zn1 Zn 0.000 0.000 0.000
In1 In 0.000 0.000 0.197
In2 In 0.000 0.500 0.000
Ge1 Ge 0.000 0.000 0.397
```

---

This record from the Alexandria database describes a relaxed structure of Zn2InGe. The functional is PBE.

Values from the calculation:
formation energy from the elements: 0.18 eV/atom
DOS(E_F): 0.250 states/eV per atom
spin magnetization: 0.0000 μB per atom

Geometry as CIF:
```
data_Zn2InGe
_chemical_formula_sum 'Zn2 In1 Ge1'
_cell_length_a 3.582
_cell_length_b 3.582
_cell_length_c 6.085
_cell_angle_alpha 90.00
_cell_angle_beta 90.00
_cell_angle_gamma 90.00
_space_group_name_H-M_alt 'P 4/m m m'
_space_group_IT_number 123
_space_group_name_Hall '-P 4 2'
loop_
_atom_site_label
_atom_site_type_symbol
_atom_site_fract_x
_atom_site_fract_y
_atom_site_fract_z
Zn1 Zn 0.000 0.000 0.222
In1 In 0.500 0.500 0.500
Ge1 Ge 0.500 0.500 0.000
```

---

This record from the Alexandria database describes a relaxed structure of Zn3InGe. The functional is PBE.

Values from the calculation:
formation energy from the elements: 0.37 eV/atom
DOS(E_F): 0.381 states/eV per atom
spin magnetization: 0.0000 μB per atom

Geometry as CIF:
```
data_Zn3InGe
_chemical_formula_sum 'Zn3 In1 Ge1'
_cell_length_a 4.921
_cell_length_b 4.921
_cell_length_c 4.921
_cell_angle_alpha 90.00
_cell_angle_beta 90.00
_cell_angle_gamma 90.00
_space_group_name_H-M_alt 'P m -3 m'
_space_group_IT_number 221
_space_group_name_Hall '-P 4 2 3'
loop_
_atom_site_label
_atom_site_type_symbol
_atom_site_fract_x
_atom_site_fract_y
_atom_site_fract_z
Zn1 Zn 0.000 0.000 0.500
In1 In 0.500 0.500 0.500
Ge1 Ge 0.000 0.000 0.000
```